1.
Compound: PuAl4Ag
Source: the Alexandria database
Functional: GGA-PBE
Structure: optimized geometry

Calculated values
Energy relative to the elements (kJ/mol of atoms): -7.8
Relative energy among the computed polymorphs (meV per atom): 0
E_tot (eV for the cell shown): -65.3
Symmetry: C2/m

Unit cell a=10.2642 b=10.2642 c=4.7432 alpha=103.21 beta=103.21 gamma=141.48
Sites, in units of the cell vectors:
Pu (0.2134, 0.2134, 0.4634)
Pu (0.7866, 0.7866, 0.5366)
Al (0.0242, 0.3651, 0.4450)
Al (0.2111, 0.4145, 0.0626)
Al (0.3651, 0.0242, 0.4450)
Al (0.4145, 0.2111, 0.0626)
Al (0.5855, 0.7889, 0.9374)
Al (0.6349, 0.9758, 0.5550)
Al (0.7889, 0.5855, 0.9374)
Al (0.9758, 0.6349, 0.5550)
Ag (0.0000, 0.5000, 0.0000)
Ag (0.5000, 0.0000, 0.0000)



2.
Compound: SrLaHg6
Source: the Alexandria database
Functional: GGA-PBE
Structure: optimized geometry

Calculated values
Energy relative to the elements (kJ/mol of atoms): -40.4
Relative energy among the computed polymorphs (meV per atom): 0
E_tot (eV for the cell shown): -11.8
Symmetry: Amm2

Unit cell a=5.2298 b=6.9220 c=6.9220 alpha=60.21 beta=90.00 gamma=90.00
Sites, in units of the cell vectors:
Sr (0.0000, 0.0000, 0.0000)
La (0.5000, 0.6717, 0.6717)
Hg (0.0000, 0.0108, 0.4958)
Hg (0.0000, 0.4958, 0.0108)
Hg (0.0000, 0.5009, 0.5009)
Hg (0.5000, 0.1771, 0.1771)
Hg (0.5000, 0.1821, 0.6471)
Hg (0.5000, 0.6471, 0.1821)



3.
Compound: AcSmHg17
Source: the Alexandria database
Functional: GGA-PBE
Structure: optimized geometry

Calculated values
Energy relative to the elements (kJ/mol of atoms): -12.6
E_tot (eV for the cell shown): -16.4
Symmetry: R3m

Unit cell a=8.4199 b=8.4199 c=8.4199 alpha=70.66 beta=70.66 gamma=70.66
Sites, in units of the cell vectors:
Ac (0.0000, 0.0000, 0.0000)
Sm (0.7120, 0.7120, 0.7120)
Hg (0.0617, 0.3791, 0.6870)
Hg (0.0617, 0.6870, 0.3791)
Hg (0.3036, 0.3036, 0.3036)
Hg (0.3043, 0.3043, 0.9412)
Hg (0.3043, 0.9412, 0.3043)
Hg (0.3214, 0.7058, 0.7058)
Hg (0.3791, 0.0617, 0.6870)
Hg (0.3791, 0.6870, 0.0617)
Hg (0.4643, 0.4643, 0.4643)
Hg (0.6121, 0.9683, 0.9683)
Hg (0.6870, 0.0617, 0.3791)
Hg (0.6870, 0.3791, 0.0617)
Hg (0.7058, 0.3214, 0.7058)
Hg (0.7058, 0.7058, 0.3214)
Hg (0.9412, 0.3043, 0.3043)
Hg (0.9683, 0.6121, 0.9683)
Hg (0.9683, 0.9683, 0.6121)



4.
Compound: La3Pr3Dy8
Source: the Alexandria database
Functional: GGA-PBE
Structure: optimized geometry

Calculated values
Energy relative to the elements (kJ/mol of atoms): 9.8
E_tot (eV for the cell shown): -64.5
Symmetry: C2/m

Unit cell a=9.8628 b=9.8628 c=5.7461 alpha=106.90 beta=106.90 gamma=102.78
Sites, in units of the cell vectors:
La (0.0000, 0.0000, 0.0000)
La (0.1880, 0.8120, 0.5000)
La (0.8120, 0.1880, 0.5000)
Pr (0.1975, 0.1975, 0.6986)
Pr (0.5000, 0.5000, 0.0000)
Pr (0.8025, 0.8025, 0.3014)
Dy (0.1184, 0.5579, 0.8385)
Dy (0.2378, 0.4421, 0.3403)
Dy (0.4421, 0.2378, 0.3403)
Dy (0.4421, 0.8816, 0.1615)
Dy (0.5579, 0.1184, 0.8385)
Dy (0.5579, 0.7622, 0.6597)
Dy (0.7622, 0.5579, 0.6597)
Dy (0.8816, 0.4421, 0.1615)



5.
Compound: Ac3Pr6Dy
Source: the Alexandria database
Functional: GGA-PBE
Structure: optimized geometry

Calculated values
Energy relative to the elements (kJ/mol of atoms): 31.2
E_tot (eV for the cell shown): -42.4
Symmetry: R-3

Unit cell a=7.3513 b=7.3513 c=7.3513 alpha=88.68 beta=88.68 gamma=88.68
Sites, in units of the cell vectors:
Ac (0.0000, 0.0000, 0.0000)
Ac (0.2578, 0.2578, 0.2578)
Ac (0.7422, 0.7422, 0.7422)
Pr (0.0944, 0.7493, 0.4233)
Pr (0.2507, 0.5767, 0.9056)
Pr (0.4233, 0.0944, 0.7493)
Pr (0.5767, 0.9056, 0.2507)
Pr (0.7493, 0.4233, 0.0944)
Pr (0.9056, 0.2507, 0.5767)
Dy (0.5000, 0.5000, 0.5000)



6.
Compound: LaTh2Zr
Source: the Alexandria database
Functional: GGA-PBE
Structure: optimized geometry

Calculated values
Energy relative to the elements (kJ/mol of atoms): 9.0
Relative energy among the computed polymorphs (meV per atom): 0
E_tot (eV for the cell shown): -27.9
Symmetry: P4/mmm

Unit cell a=3.5339 b=3.5339 c=9.7505 alpha=90.00 beta=90.00 gamma=90.00
Sites, in units of the cell vectors:
La (0.0000, 0.0000, 0.0000)
Th (0.5000, 0.5000, 0.2667)
Th (0.5000, 0.5000, 0.7333)
Zr (0.0000, 0.0000, 0.5000)



7.
Compound: KFeCo
Source: the Alexandria database
Functional: GGA-PBE
Structure: optimized geometry

Calculated values
Energy relative to the elements (kJ/mol of atoms): 56.6
Relative energy among the computed polymorphs (meV per atom): 169
E_tot (eV for the cell shown): -29.8
Symmetry: P1

Unit cell a=3.9264 b=3.9295 c=11.2265 alpha=89.77 beta=89.31 gamma=60.06
Sites, in units of the cell vectors:
K (0.0000, 0.0000, 0.0000)
K (0.3599, 0.3233, 0.3675)
Fe (0.3456, 0.3289, 0.6938)
Fe (0.6828, 0.6611, 0.5932)
Co (0.0125, 0.9952, 0.6891)
Co (0.6753, 0.6632, 0.7865)



8.
Compound: MgMoBr2
Source: the Alexandria database
Functional: GGA-PBE
Structure: optimized geometry

Calculated values
Relative energy among the computed polymorphs (meV per atom): 705
E_tot (eV for the cell shown): -13.8
Symmetry: P4/mmm
Formation energy without anion corrections (kcal/mol of atoms): 11.08

Unit cell a=4.8952 b=4.8952 c=3.9424 alpha=90.00 beta=90.00 gamma=90.00
Sites, in units of the cell vectors:
Mg (0.0000, 0.0000, 0.0000)
Mo (0.5000, 0.5000, 0.0000)
Br (0.0000, 0.5000, 0.5000)
Br (0.5000, 0.0000, 0.5000)



9.
Compound: LiGaSn
Source: the Alexandria database
Functional: GGA-PBE
Structure: optimized geometry

Calculated values
Energy relative to the elements (kJ/mol of atoms): -19.1
E_tot (eV for the cell shown): -19.1
Symmetry: P1

Unit cell a=4.2934 b=5.1945 c=6.2378 alpha=104.58 beta=91.90 gamma=112.84
Sites, in units of the cell vectors:
Li (0.0000, 0.0000, 0.0000)
Li (0.3250, 0.6535, 0.6566)
Ga (0.6764, 0.3366, 0.3395)
Ga (0.9993, 0.9983, 0.4995)
Sn (0.3351, 0.6681, 0.1726)
Sn (0.6546, 0.3135, 0.8160)



10.
Compound: ScSiSb2F
Source: the Alexandria database
Functional: GGA-PBE
Structure: optimized geometry

Calculated values
E_tot (eV for the cell shown): -24.8
Symmetry: P4/mmm
Formation energy without anion corrections (kcal/mol of atoms): -13.54

Unit cell a=5.4724 b=5.4724 c=3.6882 alpha=90.00 beta=90.00 gamma=90.00
Sites, in units of the cell vectors:
Sc (0.0000, 0.0000, 0.0000)
Si (0.5000, 0.5000, 0.5000)
Sb (0.0000, 0.5000, 0.5000)
Sb (0.5000, 0.0000, 0.5000)
F (0.5000, 0.5000, 0.0000)



11.
Compound: Ti2Co2Ag
Source: the Alexandria database
Functional: GGA-PBE
Structure: optimized geometry

Calculated values
Energy relative to the elements (kJ/mol of atoms): 2.9
Relative energy among the computed polymorphs (meV per atom): 259
E_tot (eV for the cell shown): -32.7
Symmetry: I4/mmm

Unit cell a=5.6554 b=5.6554 c=5.6554 alpha=138.81 beta=138.81 gamma=59.66
Sites, in units of the cell vectors:
Ti (0.2500, 0.7500, 0.5000)
Ti (0.7500, 0.2500, 0.5000)
Co (0.1135, 0.1135, 0.0000)
Co (0.8865, 0.8865, 0.0000)
Ag (0.5000, 0.5000, 0.0000)



12.
Compound: Mn5Sn2Pd12
Source: the Alexandria database
Functional: GGA-PBE
Structure: optimized geometry

Calculated values
Energy relative to the elements (kJ/mol of atoms): -25.1
E_tot (eV for the cell shown): -121.1
Symmetry: C2/m

Unit cell a=7.5394 b=7.5394 c=6.0519 alpha=93.07 beta=93.07 gamma=64.46
Sites, in units of the cell vectors:
Mn (0.0000, 0.0000, 0.0000)
Mn (0.2448, 0.2448, 0.0200)
Mn (0.3351, 0.3351, 0.5864)
Mn (0.6649, 0.6649, 0.4136)
Mn (0.7552, 0.7552, 0.9800)
Sn (0.2271, 0.7729, 0.5000)
Sn (0.7729, 0.2271, 0.5000)
Pd (0.0419, 0.5613, 0.2980)
Pd (0.1404, 0.1404, 0.3774)
Pd (0.1730, 0.6223, 0.9029)
Pd (0.3777, 0.8270, 0.0971)
Pd (0.4387, 0.9581, 0.7020)
Pd (0.4519, 0.4519, 0.2380)
Pd (0.5481, 0.5481, 0.7620)
Pd (0.5613, 0.0419, 0.2980)
Pd (0.6223, 0.1730, 0.9029)
Pd (0.8270, 0.3777, 0.0971)
Pd (0.8596, 0.8596, 0.6226)
Pd (0.9581, 0.4387, 0.7020)



13.
Compound: AcEr4Sb5
Source: the Alexandria database
Functional: GGA-PBE
Structure: optimized geometry

Calculated values
E_tot (eV for the cell shown): -53.7
Symmetry: Immm
Formation energy without anion corrections (kcal/mol of atoms): -24.83

Unit cell a=11.7604 b=11.7604 c=11.7604 alpha=158.26 beta=148.80 gamma=38.35
Sites, in units of the cell vectors:
Ac (0.0000, 0.0000, 0.0000)
Er (0.2051, 0.2051, 0.0000)
Er (0.3988, 0.3988, 0.0000)
Er (0.6012, 0.6012, 0.0000)
Er (0.7949, 0.7949, 0.0000)
Sb (0.1099, 0.6099, 0.5000)
Sb (0.3016, 0.8016, 0.5000)
Sb (0.5000, 0.0000, 0.5000)
Sb (0.6984, 0.1984, 0.5000)
Sb (0.8901, 0.3901, 0.5000)



14.
Compound: InMo2Os
Source: the Alexandria database
Functional: GGA-PBE
Structure: optimized geometry

Calculated values
Energy relative to the elements (kJ/mol of atoms): 31.2
E_tot (eV for the cell shown): -34.3
Symmetry: R-3m

Unit cell a=9.4619 b=9.4619 c=9.4619 alpha=17.47 beta=17.47 gamma=17.47
Sites, in units of the cell vectors:
In (0.0000, 0.0000, 0.0000)
Mo (0.2444, 0.2444, 0.2444)
Mo (0.7556, 0.7556, 0.7556)
Os (0.5000, 0.5000, 0.5000)



15.
Compound: Ta2TeSe
Source: the Alexandria database
Functional: GGA-PBE
Structure: optimized geometry

Calculated values
Relative energy among the computed polymorphs (meV per atom): 160
E_tot (eV for the cell shown): -31.2
Symmetry: P4mm
Formation energy without anion corrections (kcal/mol of atoms): -4.90

Unit cell a=3.4409 b=3.4409 c=7.6772 alpha=90.00 beta=90.00 gamma=90.00
Sites, in units of the cell vectors:
Ta (0.0000, 0.0000, 0.0000)
Ta (0.5000, 0.5000, 0.2028)
Te (0.0000, 0.0000, 0.4100)
Se (0.5000, 0.5000, 0.8352)



16.
Compound: Tb3HoHg4
Source: the Alexandria database
Functional: GGA-PBE
Structure: optimized geometry

Calculated values
Energy relative to the elements (kJ/mol of atoms): -46.2
Relative energy among the computed polymorphs (meV per atom): 0
E_tot (eV for the cell shown): -23.5
Symmetry: P4/mmm

Unit cell a=3.7274 b=3.7274 c=14.9434 alpha=90.00 beta=90.00 gamma=90.00
Sites, in units of the cell vectors:
Tb (0.0000, 0.0000, 0.0000)
Tb (0.0000, 0.0000, 0.2511)
Tb (0.0000, 0.0000, 0.7489)
Ho (0.0000, 0.0000, 0.5000)
Hg (0.5000, 0.5000, 0.1251)
Hg (0.5000, 0.5000, 0.3781)
Hg (0.5000, 0.5000, 0.6219)
Hg (0.5000, 0.5000, 0.8749)



17.
Compound: Ba4AsRh
Source: the Alexandria database
Functional: GGA-PBE
Structure: optimized geometry

Calculated values
Energy relative to the elements (kJ/mol of atoms): -46.8
Relative energy among the computed polymorphs (meV per atom): 0
E_tot (eV for the cell shown): -45.2
Symmetry: P2_1/c

Unit cell a=8.9925 b=7.5633 c=8.9533 alpha=90.00 beta=114.81 gamma=90.00
Sites, in units of the cell vectors:
Ba (0.1543, 0.2260, 0.3243)
Ba (0.1543, 0.2740, 0.8243)
Ba (0.3238, 0.7105, 0.6499)
Ba (0.3238, 0.7895, 0.1499)
Ba (0.6762, 0.2105, 0.8501)
Ba (0.6762, 0.2895, 0.3501)
Ba (0.8457, 0.7260, 0.1757)
Ba (0.8457, 0.7740, 0.6757)
As (0.5000, 0.0000, 0.5000)
As (0.5000, 0.5000, 0.0000)
Rh (0.0000, 0.0000, 0.0000)
Rh (0.0000, 0.5000, 0.5000)



18.
Compound: YPaIr2
Source: the Alexandria database
Functional: GGA-PBE
Structure: optimized geometry

Calculated values
Energy relative to the elements (kJ/mol of atoms): -87.7
Relative energy among the computed polymorphs (meV per atom): 0
E_tot (eV for the cell shown): -149.3
Symmetry: P2_1/c

Unit cell a=8.5518 b=5.6764 c=7.1300 alpha=90.00 beta=90.66 gamma=90.00
Sites, in units of the cell vectors:
Y (0.1200, 0.1466, 0.1796)
Y (0.1200, 0.3534, 0.6796)
Y (0.8800, 0.6466, 0.3204)
Y (0.8800, 0.8534, 0.8204)
Pa (0.3706, 0.6565, 0.3221)
Pa (0.3706, 0.8435, 0.8221)
Pa (0.6294, 0.1565, 0.1779)
Pa (0.6294, 0.3435, 0.6779)
Ir (0.1417, 0.6510, 0.0473)
Ir (0.1417, 0.8490, 0.5473)
Ir (0.3897, 0.1854, 0.4426)
Ir (0.3897, 0.3146, 0.9426)
Ir (0.6103, 0.6854, 0.0574)
Ir (0.6103, 0.8146, 0.5574)
Ir (0.8583, 0.1510, 0.4527)
Ir (0.8583, 0.3490, 0.9527)



19.
Compound: AlZn5Ag8
Source: the Alexandria database
Functional: GGA-PBE
Structure: optimized geometry

Calculated values
Energy relative to the elements (kJ/mol of atoms): 7.4
E_tot (eV for the cell shown): -31.8
Symmetry: I-4

Unit cell a=6.8336 b=6.8336 c=6.8336 alpha=110.44 beta=110.44 gamma=107.55
Sites, in units of the cell vectors:
Al (0.0000, 0.0000, 0.0000)
Zn (0.0382, 0.2204, 0.5931)
Zn (0.2500, 0.7500, 0.5000)
Zn (0.5550, 0.9618, 0.1822)
Zn (0.6272, 0.4450, 0.4069)
Zn (0.7796, 0.3728, 0.8178)
Ag (0.0973, 0.6809, 0.7805)
Ag (0.2689, 0.5075, 0.1001)
Ag (0.3191, 0.0996, 0.4164)
Ag (0.4074, 0.1688, 0.8999)
Ag (0.4925, 0.5926, 0.7615)
Ag (0.6832, 0.9027, 0.5836)
Ag (0.8312, 0.7311, 0.2385)
Ag (0.9004, 0.3168, 0.2195)



20.
Compound: Nd4O3F7
Source: the Alexandria database
Functional: GGA-PBE
Structure: optimized geometry

Calculated values
E_tot (eV for the cell shown): -98.5
Symmetry: P2
Formation energy without anion corrections (kcal/mol of atoms): -84.69

Unit cell a=5.2849 b=5.9262 c=5.9936 alpha=90.00 beta=90.90 gamma=90.00
Sites, in units of the cell vectors:
Nd (0.2292, 0.0000, 0.2488)
Nd (0.2533, 0.4805, 0.7533)
Nd (0.7467, 0.4805, 0.2467)
Nd (0.7708, 0.0000, 0.7512)
O (0.0000, 0.2324, 0.5000)
O (0.0000, 0.2676, 0.0000)
O (0.5000, 0.2496, 0.5000)
F (0.0000, 0.7171, 0.5000)
F (0.2005, 0.8775, 0.8513)
F (0.3087, 0.5976, 0.1525)
F (0.5000, 0.2104, 0.0000)
F (0.5000, 0.7744, 0.5000)
F (0.6913, 0.5976, 0.8475)
F (0.7995, 0.8775, 0.1487)